LiCo2Ag | PBE | optimized geometry

Unit cell a=9.3025 b=2.6565 c=4.2939 alpha=90.00 beta=100.24 gamma=90.00
Closest atoms and distances in Å follow each position.
Fractional positions:
Li1 0.0000 0.0000 0.0000  4 Ag 2.52, 2 Li 2.66, 6 Co 2.70-2.73
Li2 0.5000 0.5000 0.0000  4 Ag 2.52, 2 Li 2.66, 6 Co 2.70-2.73
Co1 0.2489 0.0000 0.7571  6 Co 2.47-2.66, 3 Li 2.70-2.73, 3 Ag 2.73-2.76
Co2 0.2511 0.5000 0.2429  6 Co 2.47-2.66, 3 Li 2.70-2.73, 3 Ag 2.73-2.76
Co3 0.7489 0.5000 0.7571  6 Co 2.47-2.66, 3 Li 2.70-2.73, 3 Ag 2.73-2.76
Co4 0.7511 0.0000 0.2429  6 Co 2.47-2.66, 3 Li 2.70-2.73, 3 Ag 2.73-2.76
Ag1 0.0000 0.5000 0.5000  4 Li 2.52, 2 Ag 2.66, 6 Co 2.73-2.76
Ag2 0.5000 0.0000 0.5000  4 Li 2.52, 2 Ag 2.66, 6 Co 2.73-2.76

Its size of the total moment is 3.3 μB per formula unit. Its space group is C2/m. As for the total energy: -36.18 eV per cell.

YTi2Ir | PBE | optimized geometry

Unit cell a=6.5623 b=6.5623 c=6.5623 alpha=90.00 beta=90.00 gamma=90.00
Closest atoms and distances in Å follow each position.
Fractional positions:
Y1 0.0000 0.0000 0.0000  8 Ti 2.84
Y2 0.0000 0.5000 0.5000  8 Ti 2.84
Y3 0.5000 0.0000 0.5000  8 Ti 2.84
Y4 0.5000 0.5000 0.0000  8 Ti 2.84
Ti1 0.2500 0.2500 0.2500  4 Ir 2.84, 4 Y 2.84
Ti2 0.2500 0.2500 0.7500  4 Ir 2.84, 4 Y 2.84
Ti3 0.2500 0.7500 0.2500  4 Ir 2.84, 4 Y 2.84
Ti4 0.2500 0.7500 0.7500  4 Ir 2.84, 4 Y 2.84
Ti5 0.7500 0.2500 0.2500  4 Ir 2.84, 4 Y 2.84
Ti6 0.7500 0.2500 0.7500  4 Ir 2.84, 4 Y 2.84
Ti7 0.7500 0.7500 0.2500  4 Ir 2.84, 4 Y 2.84
Ti8 0.7500 0.7500 0.7500  4 Ir 2.84, 4 Y 2.84
Ir1 0.0000 0.0000 0.5000  8 Ti 2.84
Ir2 0.0000 0.5000 0.0000  8 Ti 2.84
Ir3 0.5000 0.0000 0.0000  8 Ti 2.84
Ir4 0.5000 0.5000 0.5000  8 Ti 2.84

Its size of the total moment is 0.0 μB per formula unit. Its space group is Fm-3m. As for the total energy: -127.79 eV per cell. The distance to the lowest polymorph of the same formula comes out at 0.0 meV/atom.

SmDyGa2Rh2 | PBE | optimized geometry

Unit cell a=4.4035 b=4.4035 c=7.1942 alpha=90.00 beta=90.00 gamma=120.00
Closest atoms and distances in Å follow each position.
Fractional positions:
Sm1 0.0000 0.0000 0.0000  6 Ga 3.16, 6 Rh 3.19
Dy1 0.0000 0.0000 0.5000  6 Rh 3.04, 6 Ga 3.07
Ga1 0.3333 0.6667 0.2616  3 Rh 2.54
Ga2 0.6667 0.3333 0.7384  3 Rh 2.54
Rh1 0.3333 0.6667 0.7323  3 Ga 2.54
Rh2 0.6667 0.3333 0.2677  3 Ga 2.54

Its size of the total moment is 0.0 μB per formula unit. Its space group is P-3m1. As for the total energy: -34.92 eV per cell.

SiBF | PBE | optimized geometry

Unit cell a=3.2993 b=4.8141 c=4.8712 alpha=101.60 beta=95.85 gamma=104.10
Closest atoms and distances in Å follow each position.
Fractional positions:
Si1 0.0000 0.0000 0.0000  1 F 1.65
Si2 0.0385 0.1884 0.5362  3 B 2.09-2.20
B1 0.3536 0.6267 0.5571  1 F 1.36
B2 0.4781 0.9996 0.7171  1 B 1.74
F1 0.5741 0.5720 0.3394  1 B 1.36
F2 0.9320 0.6428 0.9718  1 Si 1.65

Its size of the total moment is 0.0 μB per formula unit. Its space group is P1. The value obtained for the uncorrected formation energy is -0.72 eV/atom. As for the total energy: -32.29 eV per cell. The distance to the lowest polymorph of the same formula comes out at 123.8 meV/atom.

NdEr2Cd8 | PBE | optimized geometry

Unit cell a=8.9407 b=8.9407 c=5.3372 alpha=106.77 beta=106.77 gamma=125.66
Closest atoms and distances in Å follow each position.
Fractional positions:
Nd1 0.0000 0.0000 0.0000  6 Cd 3.22-3.46
Er1 0.3111 0.6889 0.5000  12 Cd 3.17-3.29
Er2 0.6889 0.3111 0.5000  12 Cd 3.17-3.29
Cd1 0.1012 0.3641 0.7425  5 Cd 2.95-3.18, 3 Er 3.22-3.29
Cd2 0.2027 0.7973 0.0000  6 Cd 3.13-3.33, 4 Er 3.17-3.18, 1 Nd 3.22
Cd3 0.3641 0.1012 0.7425  5 Cd 2.95-3.18, 3 Er 3.22-3.29
Cd4 0.4893 0.4893 0.7380  4 Cd 2.65-2.97
Cd5 0.5107 0.5107 0.2620  4 Cd 2.65-2.97
Cd6 0.6359 0.8988 0.2575  5 Cd 2.95-3.18, 3 Er 3.22-3.29
Cd7 0.7973 0.2027 0.0000  6 Cd 3.13-3.33, 4 Er 3.17-3.18, 1 Nd 3.22
Cd8 0.8988 0.6359 0.2575  5 Cd 2.95-3.18, 3 Er 3.22-3.29

Its size of the total moment is 0.0 μB per formula unit. Its space group is C2/m. As for the total energy: -23.97 eV per cell.

BaCaIn2Pt | PBE | optimized geometry

Unit cell a=5.3271 b=5.3271 c=5.4815 alpha=90.00 beta=90.00 gamma=90.00
Closest atoms and distances in Å follow each position.
Fractional positions:
Ba1 0.0000 0.0000 0.0000  4 Ca 3.77, 8 In 3.82
Ca1 0.5000 0.5000 0.0000  2 Pt 2.74
In1 0.0000 0.5000 0.5000  2 Pt 2.66
In2 0.5000 0.0000 0.5000  2 Pt 2.66
Pt1 0.5000 0.5000 0.5000  4 In 2.66, 2 Ca 2.74

Its size of the total moment is 0.0 μB per formula unit. Its space group is P4/mmm. As for the total energy: -17.83 eV per cell.

DyTh2Co2 | PBE | optimized geometry

Unit cell a=7.5383 b=7.1214 c=5.1685 alpha=90.00 beta=126.44 gamma=90.00
Closest atoms and distances in Å follow each position.
Fractional positions:
Dy1 0.0000 0.0000 0.0000  4 Co 3.11-3.30, 8 Th 3.21-3.47
Dy2 0.5000 0.5000 0.0000  4 Co 3.11-3.30, 8 Th 3.21-3.47
Th1 0.0000 0.2684 0.5000  2 Co 2.69
Th2 0.0000 0.7316 0.5000  2 Co 2.69
Th3 0.5000 0.2316 0.5000  2 Co 2.69
Th4 0.5000 0.7684 0.5000  2 Co 2.69
Co1 0.1877 0.5000 0.2057  1 Co 2.32
Co2 0.3123 0.0000 0.7943  1 Co 2.32
Co3 0.6877 0.0000 0.2057  1 Co 2.32
Co4 0.8123 0.5000 0.7943  1 Co 2.32

Its size of the total moment is 0.0 μB per formula unit. Its space group is C2/m. As for the total energy: -67.89 eV per cell. The distance to the lowest polymorph of the same formula comes out at 175.3 meV/atom.

Er4TmZr | PBE | optimized geometry

Unit cell a=10.6366 b=5.7443 c=5.6914 alpha=90.00 beta=90.00 gamma=90.00
Closest atoms and distances in Å follow each position.
Fractional positions:
Er1 0.1586 0.0000 0.0013  2 Zr 3.30-3.31, 3 Tm 3.33-3.63, 5 Er 3.37-3.47
Er2 0.1663 0.5000 0.4983  2 Tm 3.34-3.36, 3 Zr 3.37-3.55, 5 Er 3.38-3.54
Er3 0.3337 0.0000 0.5017  2 Tm 3.34-3.36, 3 Zr 3.37-3.55, 5 Er 3.38-3.54
Er4 0.3414 0.5000 0.9987  2 Zr 3.30-3.31, 3 Tm 3.33-3.63, 5 Er 3.37-3.47
Er5 0.6586 0.5000 0.0013  2 Zr 3.30-3.31, 3 Tm 3.33-3.63, 5 Er 3.37-3.47
Er6 0.6663 0.0000 0.4983  2 Tm 3.34-3.36, 3 Zr 3.37-3.55, 5 Er 3.38-3.54
Er7 0.8337 0.5000 0.5017  2 Tm 3.34-3.36, 3 Zr 3.37-3.55, 5 Er 3.38-3.54
Er8 0.8414 0.0000 0.9987  2 Zr 3.30-3.31, 3 Tm 3.33-3.63, 5 Er 3.37-3.47
Tm1 0.0000 0.5000 0.0000  10 Er 3.33-3.63
Tm2 0.5000 0.0000 0.0000  10 Er 3.33-3.63
Zr1 0.0000 0.0000 0.5000  10 Er 3.30-3.55
Zr2 0.5000 0.5000 0.5000  10 Er 3.30-3.55

Its size of the total moment is 0.0 μB per formula unit. Its space group is C2/m. As for the total energy: -60.51 eV per cell. The distance to the lowest polymorph of the same formula comes out at 33.5 meV/atom.

Rb9Te3O2 | PBE | optimized geometry

Unit cell a=10.2095 b=10.2095 c=10.2095 alpha=85.65 beta=85.65 gamma=85.65
Closest atoms and distances in Å follow each position.
Fractional positions:
Rb1 0.0843 0.7316 0.9160  1 O 2.71
Rb2 0.0840 0.9157 0.2684  1 O 2.71
Rb3 0.0943 0.2500 0.4057  2 O 2.86
Rb4 0.2316 0.5843 0.4160  1 O 2.71
Rb5 0.2500 0.4057 0.0943  2 O 2.86
Rb6 0.2684 0.0840 0.9157  1 O 2.71
Rb7 0.4057 0.0943 0.2500  2 O 2.86
Rb8 0.4160 0.2316 0.5843  1 O 2.71
Rb9 0.4157 0.5840 0.7684  1 O 2.71
Rb10 0.5843 0.4160 0.2316  1 O 2.71
Rb11 0.5840 0.7684 0.4157  1 O 2.71
Rb12 0.5943 0.9057 0.7500  2 O 2.86
Rb13 0.7316 0.9160 0.0843  1 O 2.71
Rb14 0.7500 0.5943 0.9057  2 O 2.86
Rb15 0.7684 0.4157 0.5840  1 O 2.71
Rb16 0.9057 0.7500 0.5943  2 O 2.86
Rb17 0.9160 0.0843 0.7316  1 O 2.71
Rb18 0.9157 0.2684 0.0840  1 O 2.71
Te1 0.0901 0.4099 0.7500  12 Rb 3.80-4.09
Te2 0.2500 0.9099 0.5901  12 Rb 3.80-4.09
Te3 0.4099 0.7500 0.0901  12 Rb 3.80-4.09
Te4 0.5901 0.2500 0.9099  12 Rb 3.80-4.09
Te5 0.7500 0.0901 0.4099  12 Rb 3.80-4.09
Te6 0.9099 0.5901 0.2500  12 Rb 3.80-4.09
O1 0.1510 0.1510 0.1510  6 Rb 2.71-2.86
O2 0.3490 0.3490 0.3490  6 Rb 2.71-2.86
O3 0.6510 0.6510 0.6510  6 Rb 2.71-2.86
O4 0.8490 0.8490 0.8490  6 Rb 2.71-2.86

Its size of the total moment is 1.2 μB per formula unit. Its space group is R-3c. The value obtained for the uncorrected formation energy is -0.97 eV/atom. As for the total energy: -83.13 eV per cell.

PrCuPI | PBE | optimized geometry

Unit cell a=14.9111 b=14.9111 c=14.9111 alpha=16.00 beta=16.00 gamma=16.00
Closest atoms and distances in Å follow each position.
Fractional positions:
Pr1 0.0696 0.0696 0.0696  3 P 2.87
Pr2 0.9304 0.9304 0.9304  3 P 2.87
Cu1 0.3129 0.3129 0.3129  4 P 2.40-2.47
Cu2 0.6871 0.6871 0.6871  4 P 2.40-2.47
P1 0.3672 0.3672 0.3672  4 Cu 2.40-2.47
P2 0.6328 0.6328 0.6328  4 Cu 2.40-2.47
I1 0.2138 0.2138 0.2138  3 Pr 3.26
I2 0.7862 0.7862 0.7862  3 Pr 3.26

Its size of the total moment is 0.0 μB per formula unit. Its space group is R-3m. The value obtained for the uncorrected formation energy is -1.02 eV/atom. As for the total energy: -39.85 eV per cell.

HfVCr | PBE | optimized geometry

Unit cell a=6.0437 b=5.3238 c=4.7841 alpha=73.22 beta=57.50 gamma=49.28
Closest atoms and distances in Å follow each position.
Fractional positions:
Hf1 0.1819 0.8181 0.1819  4 Cr 2.72, 3 Hf 2.87-2.92, 2 V 2.96
Hf2 0.8181 0.1819 0.8181  4 Cr 2.72, 3 Hf 2.87-2.92, 2 V 2.96
V1 0.3281 0.3281 0.6719  4 Cr 2.50
V2 0.6719 0.6719 0.3281  4 Cr 2.50
Cr1 0.2500 0.2500 0.2500  4 V 2.50, 2 Cr 2.71, 4 Hf 2.72
Cr2 0.7500 0.7500 0.7500  4 V 2.50, 2 Cr 2.71, 4 Hf 2.72

Its size of the total moment is 0.0 μB per formula unit. Its space group is Fmmm. As for the total energy: -55.76 eV per cell. The distance to the lowest polymorph of the same formula comes out at 345.2 meV/atom.

SiRuPt3 | PBE | optimized geometry

Unit cell a=4.4944 b=4.4944 c=4.4944 alpha=90.00 beta=90.00 gamma=90.00
Closest atoms and distances in Å follow each position.
Fractional positions:
Si1 0.0000 0.0000 0.0000  6 Pt 2.25
Ru1 0.5000 0.5000 0.5000  12 Pt 3.18
Pt1 0.0000 0.0000 0.5000  2 Si 2.25
Pt2 0.0000 0.5000 0.0000  2 Si 2.25
Pt3 0.5000 0.0000 0.0000  2 Si 2.25

Its size of the total moment is 2.9 μB per formula unit. Its space group is Pm-3m. The value obtained for the uncorrected formation energy is 0.62 eV/atom. As for the total energy: -29.74 eV per cell. The distance to the lowest polymorph of the same formula comes out at 0.0 meV/atom.